Below is a relaxed MnPb4 crystal, with properties calculated at the PBE-GGA level.

abc: 8.9298 8.9298 8.9298
angles: 151.68 151.68 40.49
Element x y z (fractional)
Mn: 0.0000 0.0000 0.0000
Pb: 0.2500 0.7500 0.5000
Pb: 0.7500 0.2500 0.5000
Pb: 0.4085 0.4085 0.0000
Pb: 0.5915 0.5915 0.0000

Computed properties:
As for the uncorrected energy: -21.416 eV/cell. As for the mass density: 9.2 g cm⁻³. The calculation puts the energy relative to the elements at 0.5173 eV/atom. For the magnetization, the calculation gives 4.36 Bohr magnetons per cell.

---

Below is a relaxed AcSmSc crystal, with properties calculated at the PBE-GGA level.

abc: 6.0225 6.0225 6.3186
angles: 90.00 90.00 90.00
Element x y z (fractional)
Sc: 0.0000 0.5000 0.8447
Sc: 0.5000 0.0000 0.1553
Ac: 0.5000 0.5000 0.0000
Ac: 0.0000 0.0000 0.0000
Sm: 0.5000 0.0000 0.6293
Sm: 0.0000 0.5000 0.3707

Computed properties:
As for the uncorrected energy: -26.458 eV/cell. As for the mass density: 6.1 g cm⁻³. The calculation puts the energy relative to the elements at 0.6433 eV/atom. For the magnetization, the calculation gives 0.00 Bohr magnetons per cell.

---

> The highest magnetization belongs to which entry?

MnPb4